Record 1
## Li2NpSnTe4 (GGA-PBE)

Data for Li2NpSnTe4 after structural relaxation.

The structure belongs to space group P2/m (No. 10); the cell edges are 7.368, 4.375 and 7.754 Å and the angles 90.00°, 110.28° and 90.00°. Symmetry generates all atoms from Li at (0.000, 0.000, 0.000), Li at (0.000, 0.500, 0.500), Np at (0.500, 0.000, 0.500), Sn at (0.500, 0.500, 0.000), Te at (0.242, 0.000, 0.736) and Te at (0.243, 0.500, 0.251).

Its energy relative to the elements, uncorrected is -653 meV/atom.

=====

Record 2
## LiNpTlSn (GGA-PBE)

Data for LiNpTlSn after structural relaxation.

The structure belongs to space group F-43m (No. 216); the cell edges are 7.357, 7.357 and 7.357 Å and the angles 90.00°, 90.00° and 90.00°. Symmetry generates all atoms from Li at (0.000, 0.000, 0.000), Np at (0.000, 0.000, 0.500), Tl at (0.250, 0.250, 0.250) and Sn at (0.250, 0.250, 0.750).

As for the formation energy: 0.030 eV/atom.

=====

Record 3
## LiNpZnSn (GGA-PBE)

Data for LiNpZnSn after structural relaxation.

The structure belongs to space group F-43m (No. 216); the cell edges are 7.079, 7.079 and 7.079 Å and the angles 90.00°, 90.00° and 90.00°. Symmetry generates all atoms from Li at (0.000, 0.000, 0.000), Np at (0.000, 0.000, 0.500), Zn at (0.250, 0.250, 0.250) and Sn at (0.250, 0.250, 0.750).

As for the formation energy: 0.009 eV/atom.

=====

no.,DOS(E_F) (states/eV/f.u.),total moment (μB per atom)
1,8.9,0.399
2,9.5,1.121
3,8.5,1.057